[1]
# Cs2InTcI6 | Alexandria | PBE | optimized geometry
# Total moment in μB/f.u.: 2.00
# E in eV for the cell shown: -124.4
data_Cs2InTcI6
_space_group_name_H-M_alt 'F m -3 m'
_space_group_IT_number 225
_space_group_name_Hall '-F 4 2 3'
_cell_length_a 12.102
_cell_length_b 12.102
_cell_length_c 12.102
_cell_angle_alpha 90.00
_cell_angle_beta 90.00
_cell_angle_gamma 90.00
loop_
_atom_site_label
_atom_site_fract_x
_atom_site_fract_y
_atom_site_fract_z
_atom_site_occupancy
Cs1 0.250 0.250 0.250 1
In1 0.000 0.000 0.000 1
Tc1 0.000 0.000 0.500 1
I1 0.000 0.000 0.271 1

---

[2]
# CsInTeI2 | Alexandria | PBE | optimized geometry
# Total moment in μB/f.u.: 0.05
# E in eV for the cell shown: -13.2
data_CsInTeI2
_space_group_name_H-M_alt 'P 4/m m m'
_space_group_IT_number 123
_space_group_name_Hall '-P 4 2'
_cell_length_a 6.212
_cell_length_b 6.212
_cell_length_c 5.745
_cell_angle_alpha 90.00
_cell_angle_beta 90.00
_cell_angle_gamma 90.00
loop_
_atom_site_label
_atom_site_fract_x
_atom_site_fract_y
_atom_site_fract_z
_atom_site_occupancy
Cs1 0.000 0.000 0.000 1
In1 0.500 0.500 0.500 1
Te1 0.500 0.500 0.000 1
I1 0.000 0.500 0.500 1

---

[3]
# Cs2InTeI6 | Alexandria | PBE | optimized geometry
# Total moment in μB/f.u.: 0.00
# E in eV for the cell shown: -49.2
data_Cs2InTeI6
_space_group_name_H-M_alt 'I 4/m m m'
_space_group_IT_number 139
_space_group_name_Hall '-I 4 2'
_cell_length_a 8.859
_cell_length_b 8.859
_cell_length_c 12.293
_cell_angle_alpha 90.00
_cell_angle_beta 90.00
_cell_angle_gamma 90.00
loop_
_atom_site_label
_atom_site_fract_x
_atom_site_fract_y
_atom_site_fract_z
_atom_site_occupancy
Cs1 0.000 0.500 0.250 1
In1 0.000 0.000 0.000 1
Te1 0.000 0.000 0.500 1
I1 0.000 0.000 0.258 1
I2 0.242 0.242 0.000 1

---

[4]
# CsInTe2I | Alexandria | PBE | optimized geometry
# Relative energy among the computed polymorphs in eV per atom: 0.0000
# Total moment in μB/f.u.: 0.04
# E in eV for the cell shown: -13.7
data_CsInTe2I
_space_group_name_H-M_alt 'P 4/m m m'
_space_group_IT_number 123
_space_group_name_Hall '-P 4 2'
_cell_length_a 5.777
_cell_length_b 5.777
_cell_length_c 6.426
_cell_angle_alpha 90.00
_cell_angle_beta 90.00
_cell_angle_gamma 90.00
loop_
_atom_site_label
_atom_site_fract_x
_atom_site_fract_y
_atom_site_fract_z
_atom_site_occupancy
Cs1 0.000 0.000 0.000 1
In1 0.500 0.500 0.500 1
Te1 0.000 0.500 0.500 1
I1 0.500 0.500 0.000 1

---

[5]
# CsInTe2I | Alexandria | PBE | optimized geometry
# Relative energy among the computed polymorphs in eV per atom: 0.8457
# Total moment in μB/f.u.: 3.02
# E in eV for the cell shown: -9.5
data_CsInTe2I
_space_group_name_H-M_alt 'P 4/m m m'
_space_group_IT_number 123
_space_group_name_Hall '-P 4 2'
_cell_length_a 7.228
_cell_length_b 7.228
_cell_length_c 6.982
_cell_angle_alpha 90.00
_cell_angle_beta 90.00
_cell_angle_gamma 90.00
loop_
_atom_site_label
_atom_site_fract_x
_atom_site_fract_y
_atom_site_fract_z
_atom_site_occupancy
Cs1 0.000 0.000 0.000 1
In1 0.500 0.500 0.500 1
Te1 0.000 0.500 0.000 1
I1 0.000 0.000 0.500 1

---

[6]
# CsThIn2I8 | Alexandria | PBE | optimized geometry
# Total moment in μB/f.u.: 0.00
# E in eV for the cell shown: -37.0
data_CsThIn2I8
_space_group_name_H-M_alt 'P -1'
_space_group_IT_number 2
_cell_length_a 7.513
_cell_length_b 8.008
_cell_length_c 10.429
_cell_angle_alpha 89.73
_cell_angle_beta 89.61
_cell_angle_gamma 88.79
loop_
_space_group_symop_operation_xyz
'x,y,z'
'-x,-y,-z'
loop_
_atom_site_label
_atom_site_fract_x
_atom_site_fract_y
_atom_site_fract_z
_atom_site_occupancy
Cs1 0.000 0.000 0.000 1
Th1 0.000 0.000 0.500 1
In1 0.498 0.499 0.236 1
I1 0.234 0.312 0.500 1
I2 0.248 0.844 0.705 1
I3 0.250 0.847 0.293 1
I4 0.276 0.386 0.001 1

---

[7]
# CsTi2InI8 | Alexandria | PBE | optimized geometry
# Total moment in μB/f.u.: 2.00
# E in eV for the cell shown: -41.2
data_CsTi2InI8
_space_group_name_H-M_alt 'P -3'
_space_group_IT_number 147
_cell_length_a 7.7378
_cell_length_b 7.7378
_cell_length_c 11.6078
_cell_angle_alpha 90.00
_cell_angle_beta 90.00
_cell_angle_gamma 120.00
loop_
_space_group_symop_operation_xyz
'x,y,z'
'-x,-y,-z'
'-y,x-y,z'
'y,-x+y,-z'
'-x+y,-x,z'
'x-y,x,-z'
loop_
_atom_site_label
_atom_site_fract_x
_atom_site_fract_y
_atom_site_fract_z
_atom_site_occupancy
Cs1 0.0000 0.0000 0.0000 1
Ti1 0.3333 0.6667 0.7647 1
In1 0.0000 0.0000 0.5000 1
I1 0.0060 0.3415 0.6958 1
I2 0.3333 0.6667 0.9915 1

---

[8]
# CsTl2InI5 | Alexandria | PBE | optimized geometry
# Total moment in μB/f.u.: 0.00
# E in eV for the cell shown: -91.5
data_CsTl2InI5
_space_group_name_H-M_alt 'C m c 21'
_space_group_IT_number 36
_cell_length_a 5.475
_cell_length_b 23.139
_cell_length_c 13.912
_cell_angle_alpha 90.00
_cell_angle_beta 90.00
_cell_angle_gamma 90.00
loop_
_space_group_symop_operation_xyz
'x,y,z'
'-x,-y,z+1/2'
'-x,y,z'
'x,-y,z+1/2'
'x+1/2,y+1/2,z'
'-x+1/2,-y+1/2,z+1/2'
'-x+1/2,y+1/2,z'
'x+1/2,-y+1/2,z+1/2'
loop_
_atom_site_label
_atom_site_fract_x
_atom_site_fract_y
_atom_site_fract_z
_atom_site_occupancy
Cs1 0.000 0.196 0.000 1
Tl1 0.000 0.132 0.652 1
Tl2 0.000 0.134 0.316 1
In1 0.000 0.487 0.403 1
I1 0.000 0.009 0.977 1
I2 0.000 0.274 0.695 1
I3 0.000 0.360 0.988 1
I4 0.000 0.365 0.329 1
I5 0.000 0.456 0.719 1

---

[9]
# CsTl2InI4 | Alexandria | PBE | optimized geometry
# Total moment in μB/f.u.: 0.00
# E in eV for the cell shown: -83.3
data_CsTl2InI4
_space_group_name_H-M_alt 'C m c m'
_space_group_IT_number 63
_space_group_name_Hall '-C 2c 2'
_cell_length_a 5.310
_cell_length_b 17.625
_cell_length_c 17.073
_cell_angle_alpha 90.00
_cell_angle_beta 90.00
_cell_angle_gamma 90.00
loop_
_atom_site_label
_atom_site_fract_x
_atom_site_fract_y
_atom_site_fract_z
_atom_site_occupancy
Cs1 0.000 0.138 0.250 1
Tl1 0.000 0.378 0.048 1
In1 0.000 0.131 0.750 1
I1 0.000 0.000 0.000 1
I2 0.000 0.261 0.611 1
I3 0.000 0.480 0.250 1

---

[10]
# CsTlInI6 | Alexandria | PBE | optimized geometry
# Total moment in μB/f.u.: 0.00
# E in eV for the cell shown: -42.2
data_CsTlInI6
_space_group_name_H-M_alt 'C 1 2 1'
_space_group_IT_number 5
_cell_length_a 8.099
_cell_length_b 14.063
_cell_length_c 8.454
_cell_angle_alpha 90.00
_cell_angle_beta 90.13
_cell_angle_gamma 90.00
loop_
_space_group_symop_operation_xyz
'x,y,z'
'-x,y,-z'
'x+1/2,y+1/2,z'
'-x+1/2,y+1/2,-z'
loop_
_atom_site_label
_atom_site_fract_x
_atom_site_fract_y
_atom_site_fract_z
_atom_site_occupancy
Cs1 0.000 0.000 0.000 1
Tl1 0.000 0.334 0.500 1
In1 0.000 0.667 0.500 1
I1 0.124 0.514 0.289 1
I2 0.166 0.805 0.289 1
I3 0.208 0.181 0.290 1

---

[11]
# Cs2TlIn3I8 | Alexandria | PBE | optimized geometry
# Total moment in μB/f.u.: 0.00
# E in eV for the cell shown: -104.0
data_Cs2TlIn3I8
_space_group_name_H-M_alt 'R 3 m'
_space_group_IT_number 160
_space_group_name_Hall 'R 3 -2"'
_cell_length_a 9.7877
_cell_length_b 9.7877
_cell_length_c 27.2372
_cell_angle_alpha 90.00
_cell_angle_beta 90.00
_cell_angle_gamma 120.00
loop_
_atom_site_label
_atom_site_fract_x
_atom_site_fract_y
_atom_site_fract_z
_atom_site_occupancy
Cs1 0.0000 0.0000 0.0000 1
Cs2 0.0000 0.0000 0.3586 1
Tl1 0.0000 0.0000 0.7374 1
In1 0.1713 0.3426 0.1962 1
I1 0.0000 0.0000 0.1370 1
I2 0.0000 0.0000 0.6006 1
I3 0.0147 0.5073 0.1261 1
I4 0.1792 0.3585 0.9221 1

---

[12]
# CsTl2InI6 | Alexandria | PBE | optimized geometry
# Total moment in μB/f.u.: 0.00
# E in eV for the cell shown: -25.1
data_CsTl2InI6
_space_group_name_H-M_alt 'P 1'
_space_group_IT_number 1
_cell_length_a 8.712
_cell_length_b 8.718
_cell_length_c 9.184
_cell_angle_alpha 61.69
_cell_angle_beta 61.69
_cell_angle_gamma 60.03
loop_
_space_group_symop_operation_xyz
'x,y,z'
loop_
_atom_site_label
_atom_site_fract_x
_atom_site_fract_y
_atom_site_fract_z
_atom_site_occupancy
Cs1 0.000 0.000 0.000 1
Tl1 0.291 0.291 0.127 1
Tl2 0.810 0.811 0.570 1
In1 0.484 0.485 0.546 1
I1 0.118 0.437 0.786 1
I2 0.272 0.838 0.332 1
I3 0.436 0.659 0.786 1
I4 0.558 0.273 0.332 1
I5 0.659 0.119 0.786 1
I6 0.837 0.558 0.332 1

---

[13]
# CsTlInI3 | Alexandria | PBE | optimized geometry
# Total moment in μB/f.u.: 0.00
# E in eV for the cell shown: -31.5
data_CsTlInI3
_space_group_name_H-M_alt 'P 1 21/m 1'
_space_group_IT_number 11
_cell_length_a 10.292
_cell_length_b 5.209
_cell_length_c 12.525
_cell_angle_alpha 90.00
_cell_angle_beta 107.60
_cell_angle_gamma 90.00
loop_
_space_group_symop_operation_xyz
'x,y,z'
'-x,-y,-z'
'-x,y+1/2,-z'
'x,-y+1/2,z'
loop_
_atom_site_label
_atom_site_fract_x
_atom_site_fract_y
_atom_site_fract_z
_atom_site_occupancy
Cs1 0.200 0.250 0.218 1
Tl1 0.325 0.750 0.887 1
In1 0.171 0.250 0.636 1
I1 0.098 0.250 0.891 1
I2 0.168 0.750 0.461 1
I3 0.458 0.750 0.161 1

---

[14]
# Cs2TlInI6 | Alexandria | PBE | optimized geometry
# Total moment in μB/f.u.: 0.00
# E in eV for the cell shown: -25.7
data_Cs2TlInI6
_space_group_name_H-M_alt 'P 1'
_space_group_IT_number 1
_cell_length_a 8.681
_cell_length_b 8.685
_cell_length_c 8.686
_cell_angle_alpha 62.80
_cell_angle_beta 62.79
_cell_angle_gamma 62.76
loop_
_space_group_symop_operation_xyz
'x,y,z'
loop_
_atom_site_label
_atom_site_fract_x
_atom_site_fract_y
_atom_site_fract_z
_atom_site_occupancy
Cs1 0.000 0.000 0.000 1
Cs2 0.493 0.493 0.493 1
Tl1 0.747 0.747 0.747 1
In1 0.247 0.247 0.247 1
I1 0.027 0.545 0.413 1
I2 0.080 0.465 0.949 1
I3 0.414 0.028 0.545 1
I4 0.467 0.949 0.080 1
I5 0.544 0.414 0.028 1
I6 0.949 0.079 0.466 1

---

[15]
# CsTl2In3I6 | Alexandria | PBE | optimized geometry
# Total moment in μB/f.u.: 0.00
# E in eV for the cell shown: -62.9
data_CsTl2In3I6
_space_group_name_H-M_alt 'C 1 2/m 1'
_space_group_IT_number 12
_cell_length_a 22.117
_cell_length_b 5.083
_cell_length_c 10.192
_cell_angle_alpha 90.00
_cell_angle_beta 102.75
_cell_angle_gamma 90.00
loop_
_space_group_symop_operation_xyz
'x,y,z'
'-x,-y,-z'
'-x,y,-z'
'x,-y,z'
'x+1/2,y+1/2,z'
'-x+1/2,-y+1/2,-z'
'-x+1/2,y+1/2,-z'
'x+1/2,-y+1/2,z'
loop_
_atom_site_label
_atom_site_fract_x
_atom_site_fract_y
_atom_site_fract_z
_atom_site_occupancy
Cs1 0.000 0.000 0.000 1
Tl1 0.169 0.500 0.339 1
In1 0.000 0.000 0.500 1
In2 0.166 0.500 0.831 1
I1 0.004 0.500 0.273 1
I2 0.167 0.000 0.588 1
I3 0.176 0.000 0.091 1

---

[16]
# CsTlIn2I5 | Alexandria | PBE | optimized geometry
# Total moment in μB/f.u.: 0.00
# E in eV for the cell shown: -22.9
data_CsTlIn2I5
_space_group_name_H-M_alt 'P 4/m m m'
_space_group_IT_number 123
_space_group_name_Hall '-P 4 2'
_cell_length_a 6.273
_cell_length_b 6.273
_cell_length_c 10.853
_cell_angle_alpha 90.00
_cell_angle_beta 90.00
_cell_angle_gamma 90.00
loop_
_atom_site_label
_atom_site_fract_x
_atom_site_fract_y
_atom_site_fract_z
_atom_site_occupancy
Cs1 0.000 0.000 0.000 1
Tl1 0.000 0.000 0.500 1
In1 0.500 0.500 0.283 1
I1 0.000 0.500 0.301 1
I2 0.500 0.500 0.000 1

---

[17]
# CsTlIn2I4 | Alexandria | PBE | optimized geometry
# Total moment in μB/f.u.: 0.00
# E in eV for the cell shown: -21.0
data_CsTlIn2I4
_space_group_name_H-M_alt 'P 1 2/m 1'
_space_group_IT_number 10
_cell_length_a 8.862
_cell_length_b 5.147
_cell_length_c 8.893
_cell_angle_alpha 90.00
_cell_angle_beta 109.61
_cell_angle_gamma 90.00
loop_
_space_group_symop_operation_xyz
'x,y,z'
'-x,-y,-z'
'-x,y,-z'
'x,-y,z'
loop_
_atom_site_label
_atom_site_fract_x
_atom_site_fract_y
_atom_site_fract_z
_atom_site_occupancy
Cs1 0.000 0.000 0.000 1
Tl1 0.000 0.500 0.500 1
In1 0.500 0.000 0.500 1
In2 0.500 0.500 0.000 1
I1 0.261 0.000 0.744 1
I2 0.270 0.500 0.268 1

---

[18]
# Cs2TlInI4 | Alexandria | PBE | optimized geometry
# Total moment in μB/f.u.: 0.00
# E in eV for the cell shown: -21.3
data_Cs2TlInI4
_space_group_name_H-M_alt 'P 1 2/m 1'
_space_group_IT_number 10
_cell_length_a 9.113
_cell_length_b 5.274
_cell_length_c 9.133
_cell_angle_alpha 90.00
_cell_angle_beta 109.55
_cell_angle_gamma 90.00
loop_
_space_group_symop_operation_xyz
'x,y,z'
'-x,-y,-z'
'-x,y,-z'
'x,-y,z'
loop_
_atom_site_label
_atom_site_fract_x
_atom_site_fract_y
_atom_site_fract_z
_atom_site_occupancy
Cs1 0.000 0.000 0.000 1
Cs2 0.500 0.500 0.000 1
Tl1 0.000 0.500 0.500 1
In1 0.500 0.000 0.500 1
I1 0.243 0.000 0.724 1
I2 0.261 0.500 0.277 1

---

[19]
# Cs3Tl2InI6 | Alexandria | PBE | optimized geometry
# Total moment in μB/f.u.: 0.00
# E in eV for the cell shown: -64.1
data_Cs3Tl2InI6
_space_group_name_H-M_alt 'C 1 2/m 1'
_space_group_IT_number 12
_cell_length_a 9.129
_cell_length_b 15.829
_cell_length_c 9.137
_cell_angle_alpha 90.00
_cell_angle_beta 109.49
_cell_angle_gamma 90.00
loop_
_space_group_symop_operation_xyz
'x,y,z'
'-x,-y,-z'
'-x,y,-z'
'x,-y,z'
'x+1/2,y+1/2,z'
'-x+1/2,-y+1/2,-z'
'-x+1/2,y+1/2,-z'
'x+1/2,-y+1/2,z'
loop_
_atom_site_label
_atom_site_fract_x
_atom_site_fract_y
_atom_site_fract_z
_atom_site_occupancy
Cs1 0.000 0.000 0.000 1
Cs2 0.000 0.333 0.000 1
Tl1 0.000 0.166 0.500 1
In1 0.000 0.500 0.500 1
I1 0.240 0.334 0.723 1
I2 0.243 0.000 0.725 1

---

[20]
# Cs3TlIn2I6 | Alexandria | PBE | optimized geometry
# Total moment in μB/f.u.: 0.00
# E in eV for the cell shown: -64.0
data_Cs3TlIn2I6
_space_group_name_H-M_alt 'C 1 2/m 1'
_space_group_IT_number 12
_cell_length_a 9.129
_cell_length_b 15.807
_cell_length_c 9.112
_cell_angle_alpha 90.00
_cell_angle_beta 109.50
_cell_angle_gamma 90.00
loop_
_space_group_symop_operation_xyz
'x,y,z'
'-x,-y,-z'
'-x,y,-z'
'x,-y,z'
'x+1/2,y+1/2,z'
'-x+1/2,-y+1/2,-z'
'-x+1/2,y+1/2,-z'
'x+1/2,-y+1/2,z'
loop_
_atom_site_label
_atom_site_fract_x
_atom_site_fract_y
_atom_site_fract_z
_atom_site_occupancy
Cs1 0.000 0.000 0.000 1
Cs2 0.000 0.333 0.000 1
Tl1 0.000 0.500 0.500 1
In1 0.000 0.167 0.500 1
I1 0.240 0.000 0.723 1
I2 0.242 0.332 0.723 1

---

Looking at calculated volume for the records above, in order, we have 44.31; 44.33; 48.24; 42.89; 72.96; 52.27; 50.16; 48.96; 49.94; 53.49; 53.80; 50.56; 53.34; 49.17; 46.56; 47.45; 47.76; 51.71; 51.86; 51.65 A^3/atom.
Looking at raw formation energy for the records above, in order, we have -700; -673; -770; -451; 394; -902; -786; -754; -787; -647; -712; -744; -857; -954; -696; -720; -763; -1042; -1061; -1023 meV/atom.
Looking at ρ for the records above, in order, we have 4.65; 4.71; 4.37; 4.88; 2.87; 4.26; 3.75; 4.87; 4.84; 4.19; 4.03; 4.66; 4.32; 4.55; 4.90; 4.67; 4.67; 4.39; 4.49; 4.27 g cm⁻³.